Computed, not measured: a geometry-optimized LaSeCl structure at the GGA-PBE level of DFT.

Summary:
Space group: I4mm (107)
Raw formation energy in eV/atom: -1.862
N(E_F) in states/eV/f.u.: 0.01
Total moment in μB per formula unit: 0.00
Calculated volume in Å³ per atom: 27.9

Structure (POSCAR):
```
LaSeCl
1.0
-1.8888 1.8888 5.8624
1.8888 -1.8888 5.8624
1.8888 1.8888 -5.8624
La Se Cl
1 1 1
Direct
0.0000 0.0000 0.0000 La
0.6241 0.6241 0.0000 Se
0.3499 0.3499 0.0000 Cl
```

---

Computed, not measured: a geometry-optimized La8Se6Cl structure at the GGA-PBE level of DFT.

Summary:
Space group: P-3 (147)
Raw formation energy in eV/atom: -1.534
N(E_F) in states/eV/f.u.: 12.36
Total moment in μB per formula unit: 0.00
Calculated volume in Å³ per atom: 32.4

Structure (POSCAR):
```
La8Se6Cl
1.0
11.2377 0.0000 0.0000
-5.6189 9.7321 0.0000
0.0000 0.0000 4.4411
La Se Cl
8 6 1
Direct
0.0389 0.3516 0.2576 La
0.3127 0.9611 0.2576 La
0.3333 0.6667 0.7462 La
0.3516 0.3127 0.7424 La
0.6484 0.6873 0.2576 La
0.6667 0.3333 0.2538 La
0.6873 0.0389 0.7424 La
0.9611 0.6484 0.7424 La
0.1368 0.6554 0.2451 Se
0.3446 0.4814 0.2451 Se
0.4814 0.1368 0.7549 Se
0.5186 0.8632 0.2451 Se
0.6554 0.5186 0.7549 Se
0.8632 0.3446 0.7549 Se
0.0000 0.0000 0.5000 Cl
```

---

Computed, not measured: a geometry-optimized LaSeCl structure at the GGA-PBE level of DFT.

Summary:
Space group: P-1 (2)
Raw formation energy in eV/atom: -2.090
N(E_F) in states/eV/f.u.: 0.00
Total moment in μB per formula unit: 0.00
Calculated volume in Å³ per atom: 37.8

Structure (POSCAR):
```
LaSeCl
1.0
4.4467 0.0000 0.0000
0.0042 7.7462 0.0000
2.0991 3.7864 6.5859
La Se Cl
2 2 2
Direct
0.2418 0.2583 0.0172 La
0.7582 0.7417 0.9828 La
0.3605 0.6901 0.7659 Se
0.6395 0.3099 0.2341 Se
0.1564 0.8175 0.1985 Cl
0.8436 0.1825 0.8015 Cl
```

---

Computed, not measured: a geometry-optimized La3SeCl structure at the GGA-PBE level of DFT.

Summary:
Space group: Pm-3m (221)
Raw formation energy in eV/atom: -0.733
Polymorph energy (0 for the lowest one) in eV per atom: 0.000
N(E_F) in states/eV/f.u.: 8.65
Total moment in μB per formula unit: 0.00
Calculated volume in Å³ per atom: 31.0

Structure (POSCAR):
```
La3SeCl
1.0
5.3701 0.0000 0.0000
0.0000 5.3701 0.0000
0.0000 0.0000 5.3701
La Se Cl
3 1 1
Direct
0.0000 0.0000 0.5000 La
0.0000 0.5000 0.0000 La
0.5000 0.0000 0.0000 La
0.5000 0.5000 0.5000 Se
0.0000 0.0000 0.0000 Cl
```

---

Computed, not measured: a geometry-optimized La2Se2Cl structure at the GGA-PBE level of DFT.

Summary:
Space group: Cmc2_1 (36)
Raw formation energy in eV/atom: -2.029
Polymorph energy (0 for the lowest one) in eV per atom: 0.049
N(E_F) in states/eV/f.u.: 2.45
Total moment in μB per formula unit: 0.81
Calculated volume in Å³ per atom: 28.2

Structure (POSCAR):
```
La2Se2Cl
1.0
2.0783 -8.8725 0.0000
2.0783 8.8725 0.0000
0.0000 0.0000 7.6360
La Se Cl
4 4 2
Direct
0.0587 0.9413 0.5000 La
0.3100 0.6900 0.5988 La
0.6900 0.3100 0.0988 La
0.9413 0.0587 0.0000 La
0.3097 0.6903 0.0078 Se
0.4715 0.5285 0.7160 Se
0.5285 0.4715 0.2160 Se
0.6903 0.3097 0.5078 Se
0.1161 0.8839 0.8843 Cl
0.8839 0.1161 0.3843 Cl
```

---

Computed, not measured: a geometry-optimized LaSeCl structure at the GGA-PBE level of DFT.

Summary:
Space group: F-43m (216)
Raw formation energy in eV/atom: -2.163
N(E_F) in states/eV/f.u.: 0.00
Total moment in μB per formula unit: 0.00
Calculated volume in Å³ per atom: 29.1

Structure (POSCAR):
```
LaSeCl
1.0
0.0000 3.5204 3.5204
3.5204 0.0000 3.5204
3.5204 3.5204 0.0000
La Se Cl
1 1 1
Direct
0.0000 0.0000 0.0000 La
0.2500 0.2500 0.2500 Se
0.7500 0.7500 0.7500 Cl
```

---

Computed, not measured: a geometry-optimized LaSeCl4 structure at the GGA-PBE level of DFT.

Summary:
Space group: F-43m (216)
Raw formation energy in eV/atom: -0.496
N(E_F) in states/eV/f.u.: 7.39
Total moment in μB per formula unit: 2.68
Calculated volume in Å³ per atom: 23.3

Structure (POSCAR):
```
LaSeCl4
1.0
0.0000 4.1202 4.1202
4.1202 0.0000 4.1202
4.1202 4.1202 0.0000
La Se Cl
1 1 4
Direct
0.0000 0.0000 0.0000 La
0.7500 0.7500 0.7500 Se
0.3743 0.3743 0.3743 Cl
0.3743 0.3743 0.8771 Cl
0.3743 0.8771 0.3743 Cl
0.8771 0.3743 0.3743 Cl
```

---

Computed, not measured: a geometry-optimized La3SeCl3 structure at the GGA-PBE level of DFT.

Summary:
Space group: I4_132 (214)
Raw formation energy in eV/atom: -1.944
Polymorph energy (0 for the lowest one) in eV per atom: 0.000
N(E_F) in states/eV/f.u.: 3.78
Total moment in μB per formula unit: 0.00
Calculated volume in Å³ per atom: 29.5

Structure (POSCAR):
```
La3SeCl3
1.0
-5.9137 5.9137 5.9137
5.9137 -5.9137 5.9137
5.9137 5.9137 -5.9137
La Se Cl
12 4 12
Direct
0.0045 0.0090 0.2545 La
0.0045 0.4955 0.7500 La
0.0090 0.2545 0.0045 La
0.2455 0.2545 0.7500 La
0.2455 0.4910 0.4955 La
0.2545 0.0045 0.0090 La
0.2545 0.7500 0.2455 La
0.4910 0.4955 0.2455 La
0.4955 0.2455 0.4910 La
0.4955 0.7500 0.0045 La
0.7500 0.0045 0.4955 La
0.7500 0.2455 0.2545 La
0.0000 0.2500 0.5000 Se
0.2500 0.2500 0.2500 Se
0.2500 0.5000 0.0000 Se
0.5000 0.0000 0.2500 Se
0.2500 0.7546 0.7454 Cl
0.2500 0.9954 0.5046 Cl
0.5046 0.2500 0.9954 Cl
0.5046 0.7546 0.5093 Cl
0.5093 0.5046 0.7546 Cl
0.7454 0.2500 0.7546 Cl
0.7454 0.9954 0.9907 Cl
0.7546 0.5093 0.5046 Cl
0.7546 0.7454 0.2500 Cl
0.9907 0.7454 0.9954 Cl
0.9954 0.5046 0.2500 Cl
0.9954 0.9907 0.7454 Cl
```

---

Computed, not measured: a geometry-optimized La6SeCl8 structure at the GGA-PBE level of DFT.

Summary:
Space group: R-3 (148)
Raw formation energy in eV/atom: -1.962
N(E_F) in states/eV/f.u.: 5.84
Total moment in μB per formula unit: 0.00
Calculated volume in Å³ per atom: 30.6

Structure (POSCAR):
```
La6SeCl8
1.0
3.6056 2.0817 10.1775
-3.6056 2.0817 10.1775
0.0000 -4.1634 10.1775
La Se Cl
6 1 8
Direct
0.1074 0.4466 0.7850 La
0.2150 0.8926 0.5534 La
0.4466 0.7850 0.1074 La
0.5534 0.2150 0.8926 La
0.7850 0.1074 0.4466 La
0.8926 0.5534 0.2150 La
0.5000 0.5000 0.5000 Se
0.0637 0.7188 0.3908 Cl
0.1666 0.1666 0.1666 Cl
0.2812 0.6092 0.9363 Cl
0.3908 0.0637 0.7188 Cl
0.6092 0.9363 0.2812 Cl
0.7188 0.3908 0.0637 Cl
0.8334 0.8334 0.8334 Cl
0.9363 0.2812 0.6092 Cl
```

---

Computed, not measured: a geometry-optimized LaSeCl structure at the GGA-PBE level of DFT.

Summary:
Space group: P3m1 (156)
Raw formation energy in eV/atom: -2.083
N(E_F) in states/eV/f.u.: 0.00
Total moment in μB per formula unit: 0.07
Calculated volume in Å³ per atom: 37.2

Structure (POSCAR):
```
LaSeCl
1.0
4.4471 0.0000 0.0000
-2.2235 3.8513 0.0000
0.0000 0.0000 6.5216
La Se Cl
1 1 1
Direct
0.0000 0.0000 0.0000 La
0.6667 0.3333 0.2101 Se
0.3333 0.6667 0.7662 Cl
```

---

Computed, not measured: a geometry-optimized La3Se2Cl structure at the GGA-PBE level of DFT.

Summary:
Space group: I4/mmm (139)
Raw formation energy in eV/atom: -1.835
N(E_F) in states/eV/f.u.: 4.47
Total moment in μB per formula unit: 0.00
Calculated volume in Å³ per atom: 27.4

Structure (POSCAR):
```
La3Se2Cl
1.0
-2.1345 2.1345 9.0266
2.1345 -2.1345 9.0266
2.1345 2.1345 -9.0266
La Se Cl
3 2 1
Direct
0.0000 0.0000 0.0000 La
0.3350 0.3350 0.0000 La
0.6650 0.6650 0.0000 La
0.1679 0.1679 0.0000 Se
0.8321 0.8321 0.0000 Se
0.5000 0.5000 0.0000 Cl
```

---

Computed, not measured: a geometry-optimized La5Se4Cl structure at the GGA-PBE level of DFT.

Summary:
Space group: I4/mmm (139)
Raw formation energy in eV/atom: -1.899
N(E_F) in states/eV/f.u.: 7.66
Total moment in μB per formula unit: 0.00
Calculated volume in Å³ per atom: 27.9

Structure (POSCAR):
```
La5Se4Cl
1.0
-2.1439 2.1439 15.1615
2.1439 -2.1439 15.1615
2.1439 2.1439 -15.1615
La Se Cl
5 4 1
Direct
0.0000 0.0000 0.0000 La
0.1992 0.1992 0.0000 La
0.4009 0.4009 0.0000 La
0.5991 0.5991 0.0000 La
0.8008 0.8008 0.0000 La
0.0996 0.0996 0.0000 Se
0.3004 0.3004 0.0000 Se
0.6996 0.6996 0.0000 Se
0.9004 0.9004 0.0000 Se
0.5000 0.5000 0.0000 Cl
```

---

Computed, not measured: a geometry-optimized LaSeCl structure at the GGA-PBE level of DFT.

Summary:
Space group: Pnma (62)
Raw formation energy in eV/atom: -2.196
Total moment in μB per formula unit: 0.00
Calculated volume in Å³ per atom: 25.5

Structure (POSCAR):
```
LaSeCl
1.0
7.6621 0.0000 0.0000
0.0000 4.3687 0.0000
0.0000 0.0000 9.1590
La Se Cl
4 4 4
Direct
0.2408 0.2500 0.1312 La
0.2592 0.7500 0.6312 La
0.7408 0.2500 0.3688 La
0.7592 0.7500 0.8688 La
0.0402 0.2500 0.8289 Se
0.4598 0.7500 0.3289 Se
0.5402 0.2500 0.6711 Se
0.9598 0.7500 0.1711 Se
0.1352 0.2500 0.4399 Cl
0.3648 0.7500 0.9399 Cl
0.6352 0.2500 0.0601 Cl
0.8648 0.7500 0.5601 Cl
```

---

Computed, not measured: a geometry-optimized La4Se3Cl4 structure at the GGA-PBE level of DFT.

Summary:
Space group: Immm (71)
Raw formation energy in eV/atom: -2.109
N(E_F) in states/eV/f.u.: 2.88
Total moment in μB per formula unit: 0.00
Calculated volume in Å³ per atom: 26.5

Structure (POSCAR):
```
La4Se3Cl4
1.0
-1.9659 4.3147 8.6060
1.9659 -4.3147 8.6060
1.9659 4.3147 -8.6060
La Se Cl
4 3 4
Direct
0.2306 0.2306 0.0000 La
0.2319 0.0000 0.2319 La
0.7681 0.0000 0.7681 La
0.7694 0.7694 0.0000 La
0.0958 0.5958 0.5000 Se
0.5000 0.5000 0.0000 Se
0.9042 0.4042 0.5000 Se
0.1415 0.8260 0.3154 Cl
0.4894 0.1740 0.3154 Cl
0.5106 0.8260 0.6846 Cl
0.8585 0.1740 0.6846 Cl
```

---

Computed, not measured: a geometry-optimized LaSeCl structure at the GGA-PBE level of DFT.

Summary:
Space group: I-4m2 (119)
Raw formation energy in eV/atom: -2.122
Total moment in μB per formula unit: 0.00
Calculated volume in Å³ per atom: 31.9

Structure (POSCAR):
```
LaSeCl
1.0
-2.0934 2.0934 10.9116
2.0934 -2.0934 10.9116
2.0934 2.0934 -10.9116
La Se Cl
2 2 2
Direct
0.1586 0.1586 0.0000 La
0.8414 0.8414 0.0000 La
0.3009 0.3009 0.0000 Se
0.6991 0.6991 0.0000 Se
0.5699 0.0699 0.5000 Cl
0.9301 0.4301 0.5000 Cl
```

---

Computed, not measured: a geometry-optimized La2Se2Cl structure at the GGA-PBE level of DFT.

Summary:
Space group: P4/mbm (127)
Raw formation energy in eV/atom: -2.077
Polymorph energy (0 for the lowest one) in eV per atom: 0.000
N(E_F) in states/eV/f.u.: 1.40
Total moment in μB per formula unit: 0.00
Calculated volume in Å³ per atom: 26.7

Structure (POSCAR):
```
La2Se2Cl
1.0
8.1587 0.0000 0.0000
0.0000 8.1587 0.0000
0.0000 0.0000 4.0074
La Se Cl
4 4 2
Direct
0.1589 0.3411 0.0000 La
0.3411 0.8411 0.0000 La
0.6589 0.1589 0.0000 La
0.8411 0.6589 0.0000 La
0.1422 0.6422 0.5000 Se
0.3578 0.1422 0.5000 Se
0.6422 0.8578 0.5000 Se
0.8578 0.3578 0.5000 Se
0.0000 0.0000 0.0000 Cl
0.5000 0.5000 0.0000 Cl
```

---

Computed, not measured: a geometry-optimized La8SiSe3Cl4 structure at the GGA-PBE level of DFT.

Summary:
Space group: C2/m (12)
Raw formation energy in eV/atom: -1.679
N(E_F) in states/eV/f.u.: 9.01
Total moment in μB per formula unit: 0.00
Calculated volume in Å³ per atom: 27.3

Structure (POSCAR):
```
La8SiSe3Cl4
1.0
7.2698 -4.2880 0.0000
7.2698 4.2880 0.0000
-4.7238 0.0000 7.0037
La Si Se Cl
8 1 3 4
Direct
0.2436 0.2436 0.2442 La
0.2441 0.7565 0.2436 La
0.2435 0.7559 0.7564 La
0.2508 0.2508 0.7496 La
0.7492 0.7492 0.2504 La
0.7565 0.2441 0.2436 La
0.7559 0.2435 0.7564 La
0.7564 0.7564 0.7558 La
0.0000 0.0000 0.0000 Si
0.0000 0.5000 0.5000 Se
0.5000 0.0000 0.5000 Se
0.5000 0.5000 0.0000 Se
0.0000 0.0000 0.5000 Cl
0.0000 0.5000 0.0000 Cl
0.5000 0.0000 0.0000 Cl
0.5000 0.5000 0.5000 Cl
```

---

Computed, not measured: a geometry-optimized La3SiSeCl structure at the GGA-PBE level of DFT.

Summary:
Space group: P2_1/m (11)
Raw formation energy in eV/atom: -1.325
N(E_F) in states/eV/f.u.: 1.97
Total moment in μB per formula unit: 1.40
Calculated volume in Å³ per atom: 33.0

Structure (POSCAR):
```
La3SiSeCl
1.0
8.8052 0.0000 0.0000
0.0000 4.3059 0.0000
-0.5130 0.0000 10.4389
La Si Se Cl
6 2 2 2
Direct
0.1148 0.2500 0.3555 La
0.1643 0.2500 0.9247 La
0.3753 0.7500 0.6395 La
0.6247 0.2500 0.3605 La
0.8357 0.7500 0.0753 La
0.8852 0.7500 0.6445 La
0.1324 0.2500 0.6477 Si
0.8676 0.7500 0.3523 Si
0.3698 0.7500 0.3473 Se
0.6302 0.2500 0.6527 Se
0.3773 0.7500 0.9209 Cl
0.6227 0.2500 0.0791 Cl
```

---

Computed, not measured: a geometry-optimized La6Si2Se3Cl structure at the GGA-PBE level of DFT.

Summary:
Space group: C2/m (12)
Raw formation energy in eV/atom: -1.547
N(E_F) in states/eV/f.u.: 4.95
Total moment in μB per formula unit: 0.00
Calculated volume in Å³ per atom: 28.9

Structure (POSCAR):
```
La6Si2Se3Cl
1.0
9.4579 -2.1658 0.0000
9.4579 2.1658 0.0000
-2.0036 0.0000 8.4739
La Si Se Cl
6 2 3 1
Direct
0.0049 0.0049 0.2625 La
0.3298 0.3298 0.9042 La
0.3307 0.3307 0.4225 La
0.6693 0.6693 0.5775 La
0.6702 0.6702 0.0958 La
0.9951 0.9951 0.7375 La
0.1642 0.1642 0.3282 Si
0.8358 0.8358 0.6718 Si
0.1639 0.1639 0.8355 Se
0.5000 0.5000 0.5000 Se
0.8361 0.8361 0.1645 Se
0.5000 0.5000 0.0000 Cl
```

---

Computed, not measured: a geometry-optimized La8Si3SeCl4 structure at the GGA-PBE level of DFT.

Summary:
Space group: R-3m (166)
Raw formation energy in eV/atom: -1.409
N(E_F) in states/eV/f.u.: 10.78
Total moment in μB per formula unit: 0.00
Calculated volume in Å³ per atom: 28.3

Structure (POSCAR):
```
La8Si3SeCl4
1.0
4.3448 2.5085 6.9274
-4.3448 2.5085 6.9274
0.0000 -5.0169 6.9274
La Si Se Cl
8 3 1 4
Direct
0.2342 0.7497 0.7497 La
0.2440 0.2440 0.2440 La
0.2503 0.2503 0.7658 La
0.2503 0.7658 0.2503 La
0.7497 0.2342 0.7497 La
0.7497 0.7497 0.2342 La
0.7560 0.7560 0.7560 La
0.7658 0.2503 0.2503 La
0.0000 0.0000 0.5000 Si
0.0000 0.5000 0.0000 Si
0.5000 0.0000 0.0000 Si
0.5000 0.5000 0.5000 Se
0.0000 0.0000 0.0000 Cl
0.0000 0.5000 0.5000 Cl
0.5000 0.0000 0.5000 Cl
0.5000 0.5000 0.0000 Cl
```